Record 1
Rb2MoO2F4 | GGA-PBEsol | relaxed

Unit cell a=7.030 b=14.087 c=6.006 alpha=90.00 beta=90.00 gamma=90.00
Space group Ama2 (No. 40)
Symmetry-distinct sites (fractional):
Rb 0.250 0.048 0.000
Rb 0.250 0.229 0.489
Mo 0.250 0.385 0.011
O 0.061 0.384 0.193
F 0.069 0.377 0.744
F 0.250 0.018 0.459
F 0.250 0.247 0.975

E_form (uncorrected)	-2.599	eV/atom
energy	-6.1571	eV/atom

Record 2
MoRhO2F | GGA-PBEsol | relaxed

Unit cell a=3.836 b=3.836 c=4.077 alpha=90.00 beta=90.00 gamma=90.00
Space group P4/mmm (No. 123)
Symmetry-distinct sites (fractional):
Mo 0.000 0.000 0.000
Rh 0.500 0.500 0.500
O 0.000 0.500 0.000
F 0.000 0.000 0.500

E_form (uncorrected)	-0.768	eV/atom
energy	-7.2347	eV/atom

Record 3
SbMoOF9 | GGA-PBEsol | relaxed

Unit cell a=7.383 b=10.481 c=11.837 alpha=90.00 beta=125.78 gamma=90.00
Space group P2_1/c (No. 14)
Symmetry-distinct sites (fractional):
Sb 0.096 0.020 0.314
Mo 0.476 0.185 0.842
O 0.274 0.748 0.569
F 0.011 0.522 0.374
F 0.105 0.651 0.222
F 0.117 0.112 0.721
F 0.214 0.023 0.504
F 0.309 0.604 0.851
F 0.322 0.154 0.354
F 0.351 0.247 0.170
F 0.453 0.138 0.982
F 0.469 0.527 0.691

E_form (uncorrected)	-2.354	eV/atom
energy	-5.5973	eV/atom

Record 4
MoSeO2F | GGA-PBEsol | relaxed

Unit cell a=3.938 b=3.938 c=4.324 alpha=90.00 beta=90.00 gamma=90.00
Space group P4/mmm (No. 123)
Symmetry-distinct sites (fractional):
Mo 0.000 0.000 0.000
Se 0.500 0.500 0.500
O 0.000 0.500 0.500
F 0.500 0.500 0.000

E_form (uncorrected)	0.211	eV/atom
energy	-5.3978	eV/atom

Record 5
SiMoOF2 | GGA-PBEsol | relaxed

Unit cell a=4.191 b=4.191 c=3.783 alpha=90.00 beta=90.00 gamma=90.00
Space group P4/mmm (No. 123)
Symmetry-distinct sites (fractional):
Si 0.000 0.000 0.000
Mo 0.500 0.500 0.500
O 0.500 0.500 0.000
F 0.000 0.500 0.500

E_form (uncorrected)	-0.922	eV/atom
energy	-6.2453	eV/atom

Record 6
TbMoO4F | GGA-PBEsol | relaxed

Unit cell a=5.198 b=12.276 c=6.648 alpha=90.00 beta=113.64 gamma=90.00
Space group P2_1/c (No. 14)
Symmetry-distinct sites (fractional):
Tb 0.139 0.052 0.300
Mo 0.418 0.142 0.868
O 0.192 0.065 0.963
O 0.265 0.653 0.408
O 0.306 0.224 0.294
O 0.497 0.069 0.663
F 0.038 0.599 0.958

E_form (uncorrected)	-2.873	eV/atom
energy	-8.5443	eV/atom

Record 7
TcMoOF2 | GGA-PBEsol | relaxed

Unit cell a=4.373 b=4.373 c=3.548 alpha=90.00 beta=90.00 gamma=90.00
Space group P4/mmm (No. 123)
Symmetry-distinct sites (fractional):
Tc 0.000 0.000 0.000
Mo 0.500 0.500 0.000
O 0.000 0.000 0.500
F 0.000 0.500 0.500

E_form (uncorrected)	0.191	eV/atom
energy	-6.2362	eV/atom

Record 8
Te4MoO5F20 | GGA-PBEsol | relaxed

Unit cell a=9.379 b=10.100 c=10.440 alpha=71.40 beta=87.57 gamma=81.18
Space group P-1 (No. 2)
Symmetry-distinct sites (fractional):
Te 0.164 0.033 0.189
Te 0.178 0.543 0.197
Te 0.300 0.183 0.682
Te 0.301 0.697 0.678
Mo 0.275 0.843 0.946
O 0.158 0.733 0.080
O 0.218 0.754 0.825
O 0.250 0.978 0.045
O 0.322 0.994 0.797
O 0.437 0.756 0.992
F 0.010 0.519 0.125
F 0.022 0.982 0.867
F 0.072 0.596 0.330
F 0.073 0.087 0.329
F 0.122 0.669 0.632
F 0.135 0.161 0.603
F 0.136 0.221 0.083
F 0.180 0.847 0.302
F 0.188 0.242 0.810
F 0.196 0.356 0.308
F 0.267 0.883 0.565
F 0.282 0.369 0.571
F 0.287 0.481 0.068
F 0.336 0.510 0.788
F 0.340 0.054 0.248
F 0.346 0.564 0.272
F 0.381 0.643 0.534
F 0.413 0.128 0.553
F 0.464 0.210 0.758
F 0.483 0.724 0.720

E_form (uncorrected)	-1.920	eV/atom
energy	-4.9424	eV/atom

Record 9
Te6MoO6F30 | GGA-PBEsol | relaxed

Unit cell a=9.152 b=9.162 c=9.301 alpha=67.96 beta=63.95 gamma=82.84
Space group P-1 (No. 2)
Symmetry-distinct sites (fractional):
Te 0.000 0.231 0.244
Te 0.317 0.749 0.080
Te 0.326 0.242 0.606
Mo 0.000 0.000 0.000
O 0.007 0.170 0.067
O 0.125 0.128 0.769
O 0.192 0.927 0.027
F 0.006 0.711 0.584
F 0.104 0.588 0.826
F 0.105 0.050 0.317
F 0.127 0.621 0.220
F 0.200 0.339 0.098
F 0.201 0.876 0.608
F 0.217 0.426 0.559
F 0.305 0.791 0.265
F 0.310 0.202 0.432
F 0.333 0.706 0.894
F 0.346 0.285 0.776
F 0.436 0.574 0.133
F 0.438 0.059 0.649
F 0.478 0.647 0.552
F 0.491 0.127 0.060

E_form (uncorrected)	-1.914	eV/atom
energy	-4.7571	eV/atom

Record 10
TlMoOF2 | GGA-PBEsol | relaxed

Unit cell a=4.298 b=4.298 c=3.835 alpha=90.00 beta=90.00 gamma=90.00
Space group P4/mmm (No. 123)
Symmetry-distinct sites (fractional):
Tl 0.000 0.000 0.000
Mo 0.500 0.500 0.500
O 0.500 0.500 0.000
F 0.000 0.500 0.500

E_form (uncorrected)	-1.566	eV/atom
energy	-6.2665	eV/atom

Record 11
TlMoO2F | GGA-PBEsol | relaxed

Unit cell a=4.251 b=4.251 c=4.282 alpha=90.00 beta=90.00 gamma=90.00
Space group P4/mmm (No. 123)
Symmetry-distinct sites (fractional):
Tl 0.000 0.000 0.000
Mo 0.500 0.500 0.500
O 0.000 0.500 0.000
F 0.000 0.000 0.500

E_form (uncorrected)	0.168	eV/atom
energy	-5.1966	eV/atom

Record 12
MoWOF2 | GGA-PBEsol | relaxed

Unit cell a=4.233 b=4.233 c=3.865 alpha=90.00 beta=90.00 gamma=90.00
Space group P4/mmm (No. 123)
Symmetry-distinct sites (fractional):
Mo 0.000 0.000 0.000
W 0.500 0.500 0.500
O 0.500 0.500 0.000
F 0.000 0.500 0.500

E_form (uncorrected)	-0.290	eV/atom
energy	-7.2256	eV/atom

Record 13
Mo3PbF | GGA-PBEsol | relaxed

Unit cell a=5.377 b=5.377 c=5.377 alpha=90.00 beta=90.00 gamma=90.00
Space group Pm-3m (No. 221)
Symmetry-distinct sites (fractional):
Mo 0.000 0.000 0.500
Pb 0.000 0.000 0.000
F 0.500 0.500 0.500

E_form (uncorrected)	2.669	eV/atom
energy	-5.5767	eV/atom

Record 14
MoPbF2 | GGA-PBEsol | relaxed

Unit cell a=6.151 b=6.151 c=6.151 alpha=90.00 beta=90.00 gamma=90.00
Space group Fm-3m (No. 225)
Symmetry-distinct sites (fractional):
Mo 0.000 0.000 0.000
Pb 0.000 0.000 0.500
F 0.250 0.250 0.250

E_form (uncorrected)	-0.252	eV/atom
energy	-5.1575	eV/atom

Record 15
TlMo2PtF | GGA-PBEsol | relaxed

Unit cell a=5.164 b=5.164 c=4.242 alpha=90.00 beta=90.00 gamma=90.00
Space group P4/mmm (No. 123)
Symmetry-distinct sites (fractional):
Tl 0.000 0.000 0.000
Mo 0.000 0.500 0.000
Pt 0.500 0.500 0.500
F 0.000 0.000 0.500

E_form (uncorrected)	1.862	eV/atom
energy	-5.1495	eV/atom

Record 16
RbMo2F | GGA-PBEsol | relaxed

Unit cell a=6.348 b=6.348 c=6.348 alpha=90.00 beta=90.00 gamma=90.00
Space group Fm-3m (No. 225)
Symmetry-distinct sites (fractional):
Rb 0.000 0.000 0.000
Mo 0.250 0.250 0.250
F 0.000 0.000 0.500

E_form (uncorrected)	2.083	eV/atom
energy	-4.5388	eV/atom

Record 17
Rb2MoF2 | GGA-PBEsol | relaxed

Unit cell a=5.020 b=5.020 c=11.710 alpha=90.00 beta=90.00 gamma=90.00
Space group I4/mmm (No. 139)
Symmetry-distinct sites (fractional):
Rb 0.000 0.000 0.174
Mo 0.000 0.000 0.500
F 0.000 0.500 0.250

E_form (uncorrected)	-0.640	eV/atom
energy	-4.1748	eV/atom

Record 18
MoS2F | GGA-PBEsol | relaxed

Unit cell a=2.6873 b=2.6873 c=26.2853 alpha=90.00 beta=90.00 gamma=120.00
Space group R-3m (No. 166, hexagonal axes)
Symmetry-distinct sites (fractional):
Mo 0.0000 0.0000 0.0000
S 0.0000 0.0000 0.0924
F 0.0000 0.0000 0.5000

E_form (uncorrected)	0.313	eV/atom
energy	-5.3031	eV/atom

Record 19
MoSeF3 | GGA-PBEsol | relaxed

Unit cell a=4.174 b=4.174 c=4.174 alpha=90.00 beta=90.00 gamma=90.00
Space group Pm-3m (No. 221)
Symmetry-distinct sites (fractional):
Mo 0.000 0.000 0.000
Se 0.500 0.500 0.500
F 0.000 0.000 0.500

E_form (uncorrected)	-1.032	eV/atom
energy	-5.3117	eV/atom